a.
A relaxed structure of KCdHg. Source: the Alexandria database, functional PBE.

Values from the calculation:
Magnetic moment (μB per cell): 0.0
SG: F-43m

Cell: 5.6429 5.6429 5.6429 Å, 60.00 60.00 60.00°
Atoms (fractional coordinates):
K: 0.0000 0.0000 0.0000
Cd: 0.2500 0.2500 0.2500
Hg: 0.7500 0.7500 0.7500

***

b.
A relaxed structure of KCdHg. Source: the Alexandria database, functional PBE.

Values from the calculation:
Magnetic moment (μB per cell): 0.0
SG: P-6m2

Cell: 5.3184 5.3184 3.9403 Å, 90.00 90.00 120.00°
Atoms (fractional coordinates):
K: 0.0000 0.0000 0.0000
Cd: 0.6667 0.3333 0.5000
Hg: 0.3333 0.6667 0.5000

***

Most stable one: b, least stable one: a.

***

a.
A relaxed structure of KCdHg. Source: the Alexandria database, functional PBE.

Values from the calculation:
Magnetic moment (μB per cell): 0.0
SG: C2/m

Cell: 4.9798 4.9798 8.1352 Å, 90.02 90.02 88.48°
Atoms (fractional coordinates):
K: 0.2497 0.2497 0.1584
K: 0.7503 0.7503 0.8416
Cd: 0.2486 0.7514 0.5000
Cd: 0.7514 0.2486 0.5000
Hg: 0.2516 0.2516 0.7140
Hg: 0.7484 0.7484 0.2860

***

b.
A relaxed structure of KCdHg. Source: the Alexandria database, functional PBE.

Values from the calculation:
Magnetic moment (μB per cell): 0.0
SG: I4mm

Cell: 6.6065 6.6065 6.6065 Å, 144.38 144.38 51.27°
Atoms (fractional coordinates):
K: 0.0000 0.0000 0.0000
Cd: 0.2985 0.2985 0.0000
Hg: 0.6942 0.6942 0.0000

***

Most stable one: a, least stable one: b.

***

a.
A relaxed structure of KCdHg3. Source: the Alexandria database, functional PBE.

Values from the calculation:
Magnetic moment (μB per cell): 0.0
SG: Pm-3m

Cell: 6.5498 6.5498 6.5498 Å, 90.00 90.00 90.00°
Atoms (fractional coordinates):
K: 0.0000 0.0000 0.0000
Cd: 0.5000 0.5000 0.5000
Hg: 0.0000 0.0000 0.5000
Hg: 0.0000 0.5000 0.0000
Hg: 0.5000 0.0000 0.0000

***

b.
A relaxed structure of KCdHg3. Source: the Alexandria database, functional PBE.

Values from the calculation:
Magnetic moment (μB per cell): 0.0
SG: P-1

Cell: 6.5237 6.6856 6.7916 Å, 89.97 89.96 85.05°
Atoms (fractional coordinates):
K: 0.1768 0.3399 0.2503
K: 0.8232 0.6601 0.7497
Cd: 0.0630 0.1239 0.7506
Cd: 0.9370 0.8761 0.2494
Hg: 0.3342 0.8366 0.4962
Hg: 0.3346 0.8362 0.0038
Hg: 0.3486 0.4420 0.7499
Hg: 0.6514 0.5580 0.2501
Hg: 0.6654 0.1638 0.9962
Hg: 0.6658 0.1634 0.5038

***

c.
A relaxed structure of KCdHg3. Source: the Alexandria database, functional PBE.

Values from the calculation:
Magnetic moment (μB per cell): 0.0
SG: Pm-3m

Cell: 5.6927 5.6927 5.6927 Å, 90.00 90.00 90.00°
Atoms (fractional coordinates):
K: 0.0000 0.0000 0.0000
Cd: 0.5000 0.5000 0.5000
Hg: 0.0000 0.5000 0.5000
Hg: 0.5000 0.0000 0.5000
Hg: 0.5000 0.5000 0.0000

***

Most stable one: b, least stable one: a.

***

a.
A relaxed structure of K3CdHg. Source: the Alexandria database, functional PBE.

Values from the calculation:
Magnetic moment (μB per cell): 0.0
SG: P1

Cell: 4.8695 9.6461 10.1419 Å, 89.61 89.97 75.45°
Atoms (fractional coordinates):
K: 0.0000 0.0000 0.0000
K: 0.1288 0.7423 0.6136
K: 0.2920 0.4151 0.9827
K: 0.4688 0.0608 0.3854
K: 0.6592 0.6809 0.2283
K: 0.8355 0.3276 0.6298
Cd: 0.2794 0.4396 0.3653
Cd: 0.8483 0.3021 0.2476
Hg: 0.4895 0.0222 0.7387
Hg: 0.6394 0.7208 0.8750

***

b.
A relaxed structure of K3CdHg. Source: the Alexandria database, functional PBE.

Values from the calculation:
Magnetic moment (μB per cell): 0.0
SG: Pm-3m

Cell: 6.5665 6.5665 6.5665 Å, 90.00 90.00 90.00°
Atoms (fractional coordinates):
K: 0.0000 0.0000 0.5000
K: 0.0000 0.5000 0.0000
K: 0.5000 0.0000 0.0000
Cd: 0.5000 0.5000 0.5000
Hg: 0.0000 0.0000 0.0000

***

Most stable one: a, least stable one: b.

***

a.
A relaxed structure of K2Cd2Hg. Source: the Alexandria database, functional PBE.

Values from the calculation:
Magnetic moment (μB per cell): 0.0
SG: P4/mbm

Cell: 7.9470 7.9470 5.6325 Å, 90.00 90.00 90.00°
Atoms (fractional coordinates):
K: 0.1781 0.3219 0.0000
K: 0.3219 0.8219 0.0000
K: 0.6781 0.1781 0.0000
K: 0.8219 0.6781 0.0000
Cd: 0.1327 0.6327 0.5000
Cd: 0.3673 0.1327 0.5000
Cd: 0.6327 0.8673 0.5000
Cd: 0.8673 0.3673 0.5000
Hg: 0.0000 0.0000 0.5000
Hg: 0.5000 0.5000 0.5000

***

b.
A relaxed structure of K2Cd2Hg. Source: the Alexandria database, functional PBE.

Values from the calculation:
Magnetic moment (μB per cell): 0.0
SG: C2/m

Cell: 6.6845 6.6845 12.7298 Å, 115.46 115.46 45.77°
Atoms (fractional coordinates):
K: 0.0054 0.0054 0.3315
K: 0.2016 0.2016 0.1185
K: 0.7984 0.7984 0.8815
K: 0.9946 0.9946 0.6685
Cd: 0.3577 0.3577 0.4483
Cd: 0.4941 0.4941 0.1131
Cd: 0.5059 0.5059 0.8869
Cd: 0.6423 0.6423 0.5517
Hg: 0.2821 0.2821 0.6494
Hg: 0.7179 0.7179 0.3506

***

c.
A relaxed structure of K2Cd2Hg. Source: the Alexandria database, functional PBE.

Values from the calculation:
Magnetic moment (μB per cell): 0.0
SG: C2/m

Cell: 6.6609 6.6609 10.9900 Å, 108.86 108.86 48.35°
Atoms (fractional coordinates):
K: 0.1177 0.1177 0.3919
K: 0.1735 0.1735 0.0484
K: 0.8265 0.8265 0.9516
K: 0.8823 0.8823 0.6081
Cd: 0.4125 0.4125 0.3586
Cd: 0.4841 0.4841 0.8578
Cd: 0.5159 0.5159 0.1422
Cd: 0.5875 0.5875 0.6414
Hg: 0.2121 0.2121 0.7340
Hg: 0.7879 0.7879 0.2660

***

d.
A relaxed structure of K2Cd2Hg. Source: the Alexandria database, functional PBE.

Values from the calculation:
Magnetic moment (μB per cell): 0.0
SG: P4/mbm

Cell: 10.3993 10.3993 3.6520 Å, 90.00 90.00 90.00°
Atoms (fractional coordinates):
K: 0.1925 0.3075 0.0000
K: 0.3075 0.8075 0.0000
K: 0.6925 0.1925 0.0000
K: 0.8075 0.6925 0.0000
Cd: 0.1002 0.6002 0.5000
Cd: 0.3998 0.1002 0.5000
Cd: 0.6002 0.8998 0.5000
Cd: 0.8998 0.3998 0.5000
Hg: 0.0000 0.0000 0.0000
Hg: 0.5000 0.5000 0.0000

***

Most stable one: b, least stable one: d.

***

a.
A relaxed structure of K2CdHg5. Source: the Alexandria database, functional PBE.

Values from the calculation:
Magnetic moment (μB per cell): 0.0
SG: Cmcm

Cell: 9.8632 9.8632 10.6534 Å, 90.00 90.00 149.96°
Atoms (fractional coordinates):
K: 0.0000 0.0000 0.0000
K: 0.0000 0.0000 0.5000
K: 0.2040 0.7960 0.7500
K: 0.7960 0.2040 0.2500
Cd: 0.4419 0.5581 0.2500
Cd: 0.5581 0.4419 0.7500
Hg: 0.1932 0.8068 0.1077
Hg: 0.1932 0.8068 0.3923
Hg: 0.3522 0.6478 0.0270
Hg: 0.3522 0.6478 0.4730
Hg: 0.4040 0.5960 0.7500
Hg: 0.5960 0.4040 0.2500
Hg: 0.6478 0.3522 0.5270
Hg: 0.6478 0.3522 0.9730
Hg: 0.8068 0.1932 0.6077
Hg: 0.8068 0.1932 0.8923

***

b.
A relaxed structure of K2CdHg5. Source: the Alexandria database, functional PBE.

Values from the calculation:
Magnetic moment (μB per cell): 0.0
SG: P1

Cell: 7.0049 7.0208 7.0208 Å, 91.61 118.88 118.88°
Atoms (fractional coordinates):
K: 0.0000 0.0000 0.0000
K: 0.0031 0.5032 0.5012
Cd: 0.5021 0.9993 0.4970
Hg: 0.0029 0.0026 0.5011
Hg: 0.5003 0.5016 0.0018
Hg: 0.5014 0.4991 0.5018
Hg: 0.5023 0.0033 0.0009
Hg: 0.9992 0.4993 0.9991

***

Most stable one: a, least stable one: b.

***

a.
A relaxed structure of K3Cd3Hg2. Source: the Alexandria database, functional PBE.

Values from the calculation:
Magnetic moment (μB per cell): 0.0
SG: Cmcm

Cell: 6.6589 6.6589 17.4008 Å, 90.00 90.00 134.02°
Atoms (fractional coordinates):
K: 0.0878 0.9122 0.6081
K: 0.0878 0.9122 0.8919
K: 0.3831 0.6169 0.7500
K: 0.6169 0.3831 0.2500
K: 0.9122 0.0878 0.1081
K: 0.9122 0.0878 0.3919
Cd: 0.3206 0.6794 0.2500
Cd: 0.3821 0.6179 0.5338
Cd: 0.3821 0.6179 0.9662
Cd: 0.6179 0.3821 0.0338
Cd: 0.6179 0.3821 0.4662
Cd: 0.6794 0.3206 0.7500
Hg: 0.2071 0.7929 0.0974
Hg: 0.2071 0.7929 0.4026
Hg: 0.7929 0.2071 0.5974
Hg: 0.7929 0.2071 0.9026

***

b.
A relaxed structure of K3Cd3Hg2. Source: the Alexandria database, functional PBE.

Values from the calculation:
Magnetic moment (μB per cell): 0.0
SG: Pnma

Cell: 9.3046 17.9655 6.7160 Å, 90.00 90.00 90.00°
Atoms (fractional coordinates):
K: 0.0342 0.1079 0.1161
K: 0.0342 0.3921 0.1161
K: 0.1789 0.2500 0.6167
K: 0.3211 0.7500 0.1167
K: 0.4658 0.6079 0.6161
K: 0.4658 0.8921 0.6161
K: 0.5342 0.1079 0.3839
K: 0.5342 0.3921 0.3839
K: 0.6789 0.2500 0.8833
K: 0.8211 0.7500 0.3833
K: 0.9658 0.6079 0.8839
K: 0.9658 0.8921 0.8839
Cd: 0.1772 0.7500 0.6101
Cd: 0.1836 0.0346 0.6060
Cd: 0.1836 0.4654 0.6060
Cd: 0.3164 0.5346 0.1060
Cd: 0.3164 0.9654 0.1060
Cd: 0.3228 0.2500 0.1101
Cd: 0.6772 0.7500 0.8899
Cd: 0.6836 0.0346 0.8940
Cd: 0.6836 0.4654 0.8940
Cd: 0.8164 0.5346 0.3940
Cd: 0.8164 0.9654 0.3940
Cd: 0.8228 0.2500 0.3899
Hg: 0.1085 0.6080 0.3869
Hg: 0.1085 0.8920 0.3869
Hg: 0.3915 0.1080 0.8869
Hg: 0.3915 0.3920 0.8869
Hg: 0.6085 0.6080 0.1131
Hg: 0.6085 0.8920 0.1131
Hg: 0.8915 0.1080 0.6131
Hg: 0.8915 0.3920 0.6131

***

Most stable one: a, least stable one: b.

***

a.
A relaxed structure of K2Cd3Hg6. Source: the Alexandria database, functional PBE.

Values from the calculation:
Magnetic moment (μB per cell): 0.0
SG: Cmmm

Cell: 8.9610 8.9610 4.6157 Å, 90.00 90.00 107.92°
Atoms (fractional coordinates):
K: 0.1750 0.8250 0.0000
K: 0.8250 0.1750 0.0000
Cd: 0.3236 0.3236 0.0000
Cd: 0.5000 0.5000 0.5000
Cd: 0.6764 0.6764 0.0000
Hg: 0.1393 0.1393 0.5000
Hg: 0.1657 0.5013 0.5000
Hg: 0.4987 0.8343 0.5000
Hg: 0.5013 0.1657 0.5000
Hg: 0.8343 0.4987 0.5000
Hg: 0.8607 0.8607 0.5000

***

b.
A relaxed structure of K2Cd3Hg6. Source: the Alexandria database, functional PBE.

Values from the calculation:
Magnetic moment (μB per cell): 0.0
SG: P-62m

Cell: 8.8950 8.8950 5.0967 Å, 90.00 90.00 120.00°
Atoms (fractional coordinates):
K: 0.3333 0.6667 0.0000
K: 0.6667 0.3333 0.0000
Cd: 0.0000 0.6432 0.5000
Cd: 0.3568 0.3568 0.5000
Cd: 0.6432 0.0000 0.5000
Hg: 0.0000 0.3171 0.5000
Hg: 0.0000 0.8035 0.0000
Hg: 0.1965 0.1965 0.0000
Hg: 0.3171 0.0000 0.5000
Hg: 0.6829 0.6829 0.5000
Hg: 0.8035 0.0000 0.0000

***

Most stable one: a, least stable one: b.